# K2MoSO3

K2MoSO3 after structural relaxation (PBE with a Hubbard U, the Alexandria database).

Cell: 7.274 7.274 7.836 Å, 107.79 107.79 51.09°
Fractional positions:
K (0.009, 0.009, 0.296)
K (0.327, 0.327, 0.772)
K (0.673, 0.673, 0.228)
K (0.991, 0.991, 0.704)
Mo (0.349, 0.349, 0.289)
Mo (0.651, 0.651, 0.711)
S (0.179, 0.179, 0.084)
S (0.821, 0.821, 0.916)
O (0.132, 0.600, 0.426)
O (0.400, 0.868, 0.574)
O (0.447, 0.447, 0.178)
O (0.553, 0.553, 0.822)
O (0.600, 0.132, 0.426)
O (0.868, 0.400, 0.574)

Symmetry: C2/m (12)
DOS(E_F), states/eV/atom: 0.00
DFT total energy, eV/cell: -79.08